Entry 1:
An optimized crystal structure of Tm3Zr3CuTe2. Source: OQMD via LeMat-Bulk, functional GGA-PBE.

Geometry as extended XYZ:
```
9
Lattice="-2.140 -3.940 6.708 -1.909 -3.018 -7.235 3.212 -1.864 -0.070" Properties=species:S:1:pos:R:3 pbc="T T T"
Zr -1.656 -2.846 -0.216
Tm -1.444 -6.174 -0.432
Zr -1.128 -1.784 -4.276
Cu 0.000 0.000 0.000
Tm 1.078 -1.904 1.620
Te -0.380 -4.258 -2.622
Tm 1.135 -1.677 -1.820
Zr -1.265 -2.329 3.964
Te -0.457 -4.565 2.025
```

Results
Total energy (eV/cell): -53.41
ΔE to the lowest computed polymorph (kJ/mol of formula units): 80
Total moment (μB/f.u.): 0.0

Entry 2:
An optimized crystal structure of Y2CuTe2. Source: OQMD via LeMat-Bulk, functional GGA-PBE.

Geometry as extended XYZ:
```
5
Lattice="3.829 -3.829 0.000 3.829 3.829 0.000 -3.829 0.000 5.808" Properties=species:S:1:pos:R:3 pbc="T T T"
Te 3.829 0.000 1.683
Y 1.914 -1.915 2.904
Y 1.914 1.915 2.904
Cu 0.000 0.000 0.000
Te 0.000 0.000 4.125
```

Results
Total energy (eV/cell): -25.13
ΔE to the lowest computed polymorph (kJ/mol of formula units): 0
Total moment (μB/f.u.): 0.0

Entry 3:
An optimized crystal structure of Y2CuTe6. Source: OQMD via LeMat-Bulk, functional GGA-PBE.

Geometry as extended XYZ:
```
9
Lattice="-0.968 8.338 0.324 -5.256 -5.006 4.228 2.409 0.156 3.179" Properties=species:S:1:pos:R:3 pbc="T T T"
Te 0.009 -1.060 2.551
Te -2.875 -2.738 2.313
Cu 0.000 0.000 0.000
Te 0.984 1.974 1.663
Y -2.623 -0.480 4.516
Y -1.193 3.968 3.215
Te -3.605 2.652 5.106
Te -2.820 1.510 2.062
Te -0.530 4.561 0.177
```

Results
Total energy (eV/cell): -41.75
Total moment (μB/f.u.): 0.0

Entry 4:
An optimized crystal structure of Y7Cu2Te2. Source: OQMD via LeMat-Bulk, functional GGA-PBE.

Geometry as extended XYZ:
```
11
Lattice="-2.836 -8.937 0.214 6.487 2.757 6.187 -8.696 -1.106 -3.333" Properties=species:S:1:pos:R:3 pbc="T T T"
Y -4.011 -7.992 1.518
Y 1.063 -6.014 4.302
Y -4.345 -4.257 1.858
Cu -4.197 -0.969 0.071
Te 0.884 -1.496 1.549
Y 1.802 -0.340 4.351
Te -5.242 -5.908 -0.641
Y -9.037 -8.801 -1.905
Y -1.769 -2.472 0.060
Y -1.127 -2.891 3.559
Cu -1.550 -5.130 1.768
```

Results
Total energy (eV/cell): -65.53
Total moment (μB/f.u.): 0.2

Entry 5:
An optimized crystal structure of YCuTe2. Source: OQMD via LeMat-Bulk, functional GGA-PBE.

Geometry as extended XYZ:
```
4
Lattice="-3.337 1.284 2.513 3.236 -2.385 1.715 3.419 5.779 1.586" Properties=species:S:1:pos:R:3 pbc="T T T"
Y 2.236 5.778 3.816
Te 3.478 2.950 3.110
Cu 2.119 3.583 0.983
Te 0.808 1.366 0.375
```

Results
Total energy (eV/cell): -20.06
Total moment (μB/f.u.): 0.0

Entry 6:
An optimized crystal structure of YCuTe2. Source: OQMD via LeMat-Bulk, functional GGA-PBE.

Geometry as extended XYZ:
```
4
Lattice="0.000 3.680 3.680 3.680 0.000 3.680 3.680 3.680 0.000" Properties=species:S:1:pos:R:3 pbc="T T T"
Te 5.520 5.520 5.520
Cu 1.840 1.840 1.840
Y 3.680 3.680 3.680
Te 0.000 0.000 0.000
```

Results
Total energy (eV/cell): -17.25
Total moment (μB/f.u.): 0.0

Question: Number 3 is which compound?
Answer: Y2CuTe6

Question: Which of these has the highest total energy?
Answer: number 6